No. 1
# NaSi3Te GGA-PBE optimized geometry
data_NaSi3Te
_chemical_formula_sum 'Na1 Si3 Te1'
_symmetry_space_group_name_H-M 'P m -3 m'
_symmetry_Int_Tables_number 221
_symmetry_space_group_name_Hall '-P 4 2 3'
_cell_length_a 5.024
_cell_length_b 5.024
_cell_length_c 5.024
_cell_angle_alpha 90.00
_cell_angle_beta 90.00
_cell_angle_gamma 90.00
loop_
_atom_site_label
_atom_site_fract_x
_atom_site_fract_y
_atom_site_fract_z
Na1 0.000 0.000 0.000
Si1 0.000 0.000 0.500
Te1 0.500 0.500 0.500
# E in eV/f.u.: -13.8
# Spin magnetization in μB per cell: 0.0
# Distance to the lowest polymorph of the same formula in kJ per mole of atoms: 29.1
# Crystal system: cubic

No. 2
# NaSi3Te GGA-PBE optimized geometry
data_NaSi3Te
_chemical_formula_sum 'Na1 Si3 Te1'
_symmetry_space_group_name_H-M 'P m -3 m'
_symmetry_Int_Tables_number 221
_symmetry_space_group_name_Hall '-P 4 2 3'
_cell_length_a 5.320
_cell_length_b 5.320
_cell_length_c 5.320
_cell_angle_alpha 90.00
_cell_angle_beta 90.00
_cell_angle_gamma 90.00
loop_
_atom_site_label
_atom_site_fract_x
_atom_site_fract_y
_atom_site_fract_z
Na1 0.000 0.000 0.000
Si1 0.000 0.500 0.500
Te1 0.500 0.500 0.500
# E in eV/f.u.: -15.3
# Spin magnetization in μB per cell: 0.0
# Distance to the lowest polymorph of the same formula in kJ per mole of atoms: 0.0
# Crystal system: cubic

No. 3
# NaSi2Te GGA-PBE optimized geometry
data_NaSi2Te
_chemical_formula_sum 'Na4 Si8 Te4'
_symmetry_space_group_name_H-M 'I -4 2 d'
_symmetry_Int_Tables_number 122
_symmetry_space_group_name_Hall 'I -4 2bw'
_cell_length_a 8.185
_cell_length_b 8.185
_cell_length_c 5.668
_cell_angle_alpha 90.00
_cell_angle_beta 90.00
_cell_angle_gamma 90.00
loop_
_atom_site_label
_atom_site_fract_x
_atom_site_fract_y
_atom_site_fract_z
Na1 0.000 0.000 0.000
Si1 0.226 0.250 0.625
Te1 0.000 0.000 0.500
# E in eV/f.u.: -13.8
# Spin magnetization in μB per cell: 0.0
# Crystal system: tetragonal

No. 4
# NaSiTe3 GGA-PBE optimized geometry
data_NaSiTe3
_chemical_formula_sum 'Na4 Si4 Te12'
_symmetry_space_group_name_H-M 'P 1 21/c 1'
_symmetry_Int_Tables_number 14
_cell_length_a 10.512
_cell_length_b 6.539
_cell_length_c 13.742
_cell_angle_alpha 90.00
_cell_angle_beta 129.28
_cell_angle_gamma 90.00
loop_
_symmetry_equiv_pos_as_xyz
'x,y,z'
'-x,-y,-z'
'-x,y+1/2,-z+1/2'
'x,-y+1/2,z+1/2'
loop_
_atom_site_label
_atom_site_fract_x
_atom_site_fract_y
_atom_site_fract_z
Na1 0.131 0.199 0.249
Si1 0.392 0.680 0.385
Te1 0.111 0.707 0.183
Te2 0.372 0.115 0.564
Te3 0.424 0.636 0.585
# E in eV/f.u.: -17.4
# Spin magnetization in μB per cell: 0.0
# Distance to the lowest polymorph of the same formula in kJ per mole of atoms: 1.8
# Crystal system: monoclinic

Number 1: ΔE_f (raw) 671 kJ/mol of formula units. Number 2: ΔE_f (raw) 526 kJ/mol of formula units. Number 3: ΔE_f (raw) 145 kJ/mol of formula units. Number 4: ΔE_f (raw) -122 kJ/mol of formula units.